Model w:
A plane-wave DFT calculation with PBE+U was carried out for crystalline MnPS2F at its relaxed geometry.

Output
Its volume is 19.27 Å³/atom. For the total magnetization, the calculation gives 2.94 μB per formula unit. The crystal system is tetragonal.

abc: 4.5124 4.5124 4.7314
angles: 90.00 90.00 90.00
Space group P4/mmm (No. 123)
Unique sites:
Mn (0.0000, 0.0000, 0.0000)
P (0.0000, 0.0000, 0.5000)
S (0.0000, 0.5000, 0.0000)
F (0.5000, 0.5000, 0.5000)

=====

Model x:
A plane-wave DFT calculation with PBE+U was carried out for crystalline MnPS2F at its relaxed geometry.

Output
Its volume is 16.80 Å³/atom. For the total magnetization, the calculation gives 0.67 μB per formula unit. The crystal system is tetragonal.

abc: 4.8273 4.8273 3.6050
angles: 90.00 90.00 90.00
Space group P4/mmm (No. 123)
Unique sites:
Mn (0.0000, 0.0000, 0.0000)
P (0.5000, 0.5000, 0.0000)
S (0.0000, 0.5000, 0.5000)
F (0.5000, 0.5000, 0.5000)

=====

Stability summary - winner: model w; margin: 998 meV per atom.

=====

Model w:
A plane-wave DFT calculation with PBE+U was carried out for crystalline MnVPF at its relaxed geometry.

Output
Its volume is 17.35 Å³/atom. For the total magnetization, the calculation gives 8.00 μB per formula unit. The crystal system is monoclinic.

abc: 8.7215 3.4428 6.2504
angles: 90.00 132.31 90.00
Space group Cm (No. 8)
Unique sites:
Mn (0.0000, 0.0000, 0.0000)
V (0.0280, 0.0000, 0.5071)
P (0.3316, 0.0000, 0.0865)
F (0.3111, 0.5000, 0.5496)

=====

Model x:
A plane-wave DFT calculation with PBE+U was carried out for crystalline MnVPF at its relaxed geometry.

Output
Its volume is 16.79 Å³/atom. For the total magnetization, the calculation gives 7.99 μB per formula unit. The crystal system is monoclinic.

abc: 3.6799 3.5954 5.0776
angles: 90.00 90.09 90.00
Space group Pm (No. 6)
Unique sites:
Mn (0.0000, 0.0000, 0.0000)
V (0.5836, 0.5000, 0.5003)
P (0.4941, 0.5000, 0.0003)
F (0.9396, 0.0000, 0.5004)

=====

Stability summary - winner: model x; margin: 37 meV per atom.

=====

Model w:
A plane-wave DFT calculation with PBE+U was carried out for crystalline Mn2PbF6 at its relaxed geometry.

Output
Its volume is 16.12 Å³/atom. For the total magnetization, the calculation gives 10.00 μB per formula unit. The crystal system is trigonal.

abc: 5.6687 5.6687 5.2137
angles: 90.00 90.00 120.00
Space group P-31m (No. 162)
Unique sites:
Mn (0.3333, 0.6667, 0.0000)
Pb (0.0000, 0.0000, 0.5000)
F (0.0000, 0.3580, 0.2183)

=====

Model x:
A plane-wave DFT calculation with PBE+U was carried out for crystalline Mn2PbF6 at its relaxed geometry.

Output
Its volume is 16.78 Å³/atom. For the total magnetization, the calculation gives 10.00 μB per formula unit. The crystal system is monoclinic.

abc: 10.7773 4.1487 7.6459
angles: 90.00 117.95 90.00
Space group C2/m (No. 12)
Unique sites:
Mn (0.1745, 0.0000, 0.1006)
Pb (0.0000, 0.0000, 0.5000)
F (0.0136, 0.0000, 0.1847)
F (0.1532, 0.5000, 0.6147)
F (0.2153, 0.5000, 0.0864)

=====

Stability summary - winner: model w; margin: 6 meV per atom.

=====

Model w:
A plane-wave DFT calculation with PBE+U was carried out for crystalline MnPb2F8 at its relaxed geometry.

Output
Its volume is 17.54 Å³/atom. For the total magnetization, the calculation gives 2.98 μB per formula unit. The crystal system is trigonal.

abc: 6.8361 6.8361 4.7677
angles: 90.00 90.00 120.00
Space group P-3 (No. 147)
Unique sites:
Mn (0.0000, 0.0000, 0.0000)
Pb (0.3333, 0.6667, 0.7529)
F (0.1281, 0.2576, 0.7781)
F (0.3333, 0.6667, 0.2417)

=====

Model x:
A plane-wave DFT calculation with PBE+U was carried out for crystalline MnPb2F8 at its relaxed geometry.

Output
Its volume is 13.56 Å³/atom. For the total magnetization, the calculation gives 3.63 μB per formula unit. The crystal system is monoclinic.

abc: 14.1204 4.3105 5.1842
angles: 90.00 109.03 90.00
Space group C2/m (No. 12)
Unique sites:
Mn (0.0000, 0.0000, 0.0000)
Pb (0.1521, 0.5000, 0.6288)
F (0.0023, 0.5000, 0.7592)
F (0.0939, 0.0000, 0.3601)
F (0.1149, 0.0000, 0.8902)
F (0.2251, 0.5000, 0.2752)

=====

Stability summary - winner: model w; margin: 63 meV per atom.

=====

Model w:
A plane-wave DFT calculation with PBE+U was carried out for crystalline MnPb2F at its relaxed geometry.

Output
Its volume is 22.22 Å³/atom. For the total magnetization, the calculation gives 4.26 μB per formula unit. The crystal system is cubic.

abc: 7.0839 7.0839 7.0839
angles: 90.00 90.00 90.00
Space group Fm-3m (No. 225)
Unique sites:
Mn (0.0000, 0.0000, 0.0000)
Pb (0.2500, 0.2500, 0.2500)
F (0.0000, 0.0000, 0.5000)

=====

Model x:
A plane-wave DFT calculation with PBE+U was carried out for crystalline MnPb2F at its relaxed geometry.

Output
Its volume is 28.56 Å³/atom. For the total magnetization, the calculation gives 4.84 μB per formula unit. The crystal system is tetragonal.

abc: 5.3114 5.3114 16.1969
angles: 90.00 90.00 90.00
Space group I-42d (No. 122)
Unique sites:
Mn (0.0000, 0.0000, 0.0000)
Pb (0.1638, 0.2500, 0.6250)
F (0.0000, 0.0000, 0.5000)

=====

Stability summary - winner: model w; margin: 77 meV per atom.

=====

Model w:
A plane-wave DFT calculation with PBE+U was carried out for crystalline MnPdF3 at its relaxed geometry.

Output
Its volume is 14.22 Å³/atom. For the total magnetization, the calculation gives 4.78 μB per formula unit. The crystal system is cubic.

abc: 4.1427 4.1427 4.1427
angles: 90.00 90.00 90.00
Space group Pm-3m (No. 221)
Unique sites:
Mn (0.0000, 0.0000, 0.0000)
Pd (0.5000, 0.5000, 0.5000)
F (0.0000, 0.0000, 0.5000)

=====

Model x:
A plane-wave DFT calculation with PBE+U was carried out for crystalline MnPdF3 at its relaxed geometry.

Output
Its volume is 15.97 Å³/atom. For the total magnetization, the calculation gives 5.68 μB per formula unit. The crystal system is cubic.

abc: 4.3060 4.3060 4.3060
angles: 90.00 90.00 90.00
Space group Pm-3m (No. 221)
Unique sites:
Mn (0.0000, 0.0000, 0.0000)
Pd (0.5000, 0.5000, 0.5000)
F (0.0000, 0.5000, 0.5000)

=====

Stability summary - winner: model w; margin: 508 meV per atom.

=====

Model w:
A plane-wave DFT calculation with PBE+U was carried out for crystalline Mn3PdF at its relaxed geometry.

Output
Its volume is 25.48 Å³/atom. For the total magnetization, the calculation gives 15.05 μB per formula unit. The crystal system is cubic.

abc: 5.0317 5.0317 5.0317
angles: 90.00 90.00 90.00
Space group Pm-3m (No. 221)
Unique sites:
Mn (0.0000, 0.0000, 0.5000)
Pd (0.0000, 0.0000, 0.0000)
F (0.5000, 0.5000, 0.5000)

=====

Model x:
A plane-wave DFT calculation with PBE+U was carried out for crystalline Mn3PdF at its relaxed geometry.

Output
Its volume is 16.90 Å³/atom. For the total magnetization, the calculation gives 14.31 μB per formula unit. The crystal system is cubic.

abc: 4.3880 4.3880 4.3880
angles: 90.00 90.00 90.00
Space group Pm-3m (No. 221)
Unique sites:
Mn (0.0000, 0.0000, 0.5000)
Pd (0.5000, 0.5000, 0.5000)
F (0.0000, 0.0000, 0.0000)

=====

Stability summary - winner: model x; margin: 437 meV per atom.

=====

Model w:
A plane-wave DFT calculation with PBE+U was carried out for crystalline Mn3PtF at its relaxed geometry.

Output
Its volume is 16.37 Å³/atom. For the total magnetization, the calculation gives 14.25 μB per formula unit. The crystal system is cubic.

abc: 4.3417 4.3417 4.3417
angles: 90.00 90.00 90.00
Space group Pm-3m (No. 221)
Unique sites:
Mn (0.0000, 0.0000, 0.5000)
Pt (0.5000, 0.5000, 0.5000)
F (0.0000, 0.0000, 0.0000)

=====

Model x:
A plane-wave DFT calculation with PBE+U was carried out for crystalline Mn3PtF at its relaxed geometry.

Output
Its volume is 25.74 Å³/atom. For the total magnetization, the calculation gives 14.92 μB per formula unit. The crystal system is cubic.

abc: 5.0489 5.0489 5.0489
angles: 90.00 90.00 90.00
Space group Pm-3m (No. 221)
Unique sites:
Mn (0.0000, 0.0000, 0.5000)
Pt (0.0000, 0.0000, 0.0000)
F (0.5000, 0.5000, 0.5000)

=====

Stability summary - winner: model w; margin: 412 meV per atom.

=====

Model w:
A plane-wave DFT calculation with PBE+U was carried out for crystalline MnPt3F at its relaxed geometry.

Output
Its volume is 16.95 Å³/atom. For the total magnetization, the calculation gives 5.26 μB per formula unit. The crystal system is cubic.

abc: 4.3927 4.3927 4.3927
angles: 90.00 90.00 90.00
Space group Pm-3m (No. 221)
Unique sites:
Mn (0.0000, 0.0000, 0.0000)
Pt (0.0000, 0.5000, 0.5000)
F (0.5000, 0.5000, 0.5000)

=====

Model x:
A plane-wave DFT calculation with PBE+U was carried out for crystalline MnPt3F at its relaxed geometry.

Output
Its volume is 18.72 Å³/atom. For the total magnetization, the calculation gives 0.00 μB per formula unit. The crystal system is cubic.

abc: 4.5407 4.5407 4.5407
angles: 90.00 90.00 90.00
Space group Pm-3m (No. 221)
Unique sites:
Mn (0.0000, 0.0000, 0.0000)
Pt (0.0000, 0.0000, 0.5000)
F (0.5000, 0.5000, 0.5000)

=====

Stability summary - winner: model w; margin: 989 meV per atom.

=====

Model w:
A plane-wave DFT calculation with PBE+U was carried out for crystalline RbMn3F at its relaxed geometry.

Output
Its volume is 27.93 Å³/atom. For the total magnetization, the calculation gives 15.07 μB per formula unit. The crystal system is cubic.

abc: 5.1884 5.1884 5.1884
angles: 90.00 90.00 90.00
Space group Pm-3m (No. 221)
Unique sites:
Rb (0.0000, 0.0000, 0.0000)
Mn (0.0000, 0.5000, 0.5000)
F (0.5000, 0.5000, 0.5000)

=====

Model x:
A plane-wave DFT calculation with PBE+U was carried out for crystalline RbMn3F at its relaxed geometry.

Output
Its volume is 68.72 Å³/atom. For the total magnetization, the calculation gives 15.02 μB per formula unit. The crystal system is cubic.

abc: 7.0039 7.0039 7.0039
angles: 90.00 90.00 90.00
Space group Pm-3m (No. 221)
Unique sites:
Rb (0.0000, 0.0000, 0.0000)
Mn (0.0000, 0.0000, 0.5000)
F (0.5000, 0.5000, 0.5000)

=====

Stability summary - winner: model w; margin: 945 meV per atom.

=====

Model w:
A plane-wave DFT calculation with PBE+U was carried out for crystalline Rb2MnF at its relaxed geometry.

Output
Its volume is 40.06 Å³/atom. For the total magnetization, the calculation gives 6.00 μB per formula unit. The crystal system is cubic.

abc: 8.6219 8.6219 8.6219
angles: 90.00 90.00 90.00
Space group Fm-3m (No. 225)
Unique sites:
Rb (0.2500, 0.2500, 0.2500)
Mn (0.0000, 0.0000, 0.0000)
F (0.0000, 0.0000, 0.5000)

=====

Model x:
A plane-wave DFT calculation with PBE+U was carried out for crystalline Rb2MnF at its relaxed geometry.

Output
Its volume is 44.85 Å³/atom. For the total magnetization, the calculation gives 6.00 μB per formula unit. The crystal system is tetragonal.

abc: 8.3979 8.3979 10.1745
angles: 90.00 90.00 90.00
Space group I-42d (No. 122)
Unique sites:
Rb (0.1231, 0.2500, 0.1250)
Mn (0.0000, 0.0000, 0.5000)
F (0.0000, 0.0000, 0.0000)

=====

Stability summary - winner: model x; margin: 393 meV per atom.

=====

Model w:
A plane-wave DFT calculation with PBE+U was carried out for crystalline MnRe3F at its relaxed geometry.

Output
Its volume is 15.06 Å³/atom. For the total magnetization, the calculation gives 2.25 μB per formula unit. The crystal system is cubic.

abc: 4.2226 4.2226 4.2226
angles: 90.00 90.00 90.00
Space group Pm-3m (No. 221)
Unique sites:
Mn (0.0000, 0.0000, 0.0000)
Re (0.0000, 0.5000, 0.5000)
F (0.5000, 0.5000, 0.5000)

=====

Model x:
A plane-wave DFT calculation with PBE+U was carried out for crystalline MnRe3F at its relaxed geometry.

Output
Its volume is 17.43 Å³/atom. For the total magnetization, the calculation gives 0.00 μB per formula unit. The crystal system is cubic.

abc: 4.4340 4.4340 4.4340
angles: 90.00 90.00 90.00
Space group Pm-3m (No. 221)
Unique sites:
Mn (0.0000, 0.0000, 0.0000)
Re (0.0000, 0.0000, 0.5000)
F (0.5000, 0.5000, 0.5000)

=====

Stability summary - winner: model w; margin: 990 meV per atom.